# CeGe3

CeGe3 after structural relaxation (PBE, the Alexandria database).

Its formation enthalpy at 0 K is -0.37 eV per atom.

abc: 5.5828 5.5828 5.5828
angles: 136.08 136.08 63.85
Sites, in units of the cell vectors:
Ce 0.0000 0.0000 0.0000
Ge 0.2500 0.7500 0.5000
Ge 0.5000 0.5000 0.0000
Ge 0.7500 0.2500 0.5000